First-principles (PBE-GGA) data for a relaxed CuP4Ru2O14 crystal, as listed in the Alexandria database. Values from VASP.

```
&SYSTEM
  ibrav = 0, nat = 21, ntyp = 4
/
ATOMIC_SPECIES
Cu 63.55 Cu.upf
P 30.97 P.upf
Ru 101.07 Ru.upf
O 16.00 O.upf
CELL_PARAMETERS angstrom
4.886 0.000 0.000
-1.945 6.510 0.000
-0.389 -0.499 8.318
ATOMIC_POSITIONS angstrom
Cu 0.000 0.000 0.000
P -1.483 3.890 6.400
P 0.320 4.716 2.596
P 2.232 1.295 5.721
P 4.035 2.120 1.918
Ru -0.195 -0.250 4.159
Ru 1.470 3.255 0.000
O -1.199 5.124 5.568
O 0.146 1.784 0.736
O -0.940 5.594 2.692
O -0.113 3.173 2.858
O -0.202 3.243 6.882
O 1.186 1.128 4.623
O 0.832 4.818 1.144
O 1.719 1.193 7.173
O 1.366 4.883 3.695
O 2.753 2.768 1.436
O 2.665 2.838 5.460
O 3.491 0.417 5.626
O 2.405 4.227 7.581
O 3.750 0.887 2.750
```

Values from the calculation:
The value obtained for the raw formation energy is -34.3 eV/f.u.